[1]
GaPbSeBr2 after structural relaxation, computed with PBE.

Properties
Distance to the lowest polymorph of the same formula: 752 meV per atom
Crystal system: tetragonal

a b c (Å): 6.9994 6.9994 7.8974
angles (deg): 90.00 90.00 90.00
Closest atoms and distances in Å follow each position.
Space group P4/mmm (No. 123)
Asymmetric unit:
Ga 0.0000 0.0000 0.0000  4 Se 4.95, 8 Br 5.28
Pb 0.5000 0.5000 0.5000  4 Br 3.50
Se 0.5000 0.5000 0.0000  2 Pb 3.95
Br 0.0000 0.5000 0.5000  2 Pb 3.50

---

[2]
GaPbSeBr2 after structural relaxation, computed with PBE.

Properties
Distance to the lowest polymorph of the same formula: 509 meV per atom
Crystal system: tetragonal

a b c (Å): 5.5617 5.5617 5.1675
angles (deg): 90.00 90.00 90.00
Closest atoms and distances in Å follow each position.
Space group P4/mmm (No. 123)
Asymmetric unit:
Ga 0.0000 0.0000 0.0000  2 Se 2.58
Pb 0.5000 0.5000 0.0000  8 Br 3.80, 4 Ga 3.93
Se 0.0000 0.0000 0.5000  2 Ga 2.58, 4 Br 2.78
Br 0.0000 0.5000 0.5000  2 Se 2.78

---

Here are the calculated calculated volume numbers, same order: 77.4 32.0 (A^3/atom).
Here are the calculated total magnetization numbers, same order: 0.200 0.000 (μB per atom).
Here are the calculated ΔE_f (raw) numbers, same order: 0.408 0.165 (eV per atom).